No. 1
A plane-wave DFT calculation with GGA-PBE was carried out for a geometry-optimized Ba2PtSN structure.

Computed properties:
raw formation energy: -1.080 eV per atom

Cell: 5.713 5.713 3.877 Å, 90.00 90.00 90.00°
Sites, in units of the cell vectors:
Ba  0.000  0.500  0.000
Ba  0.500  0.000  0.000
Pt  0.000  0.000  0.500
S  0.500  0.500  0.500
N  0.000  0.000  0.000


No. 2
A plane-wave DFT calculation with GGA-PBE was carried out for a geometry-optimized NdBeAg3 structure.

Cell: 4.642 4.642 4.642 Å, 90.00 90.00 90.00°
Sites, in units of the cell vectors:
Nd  0.000  0.000  0.000
Be  0.500  0.500  0.500
Ag  0.000  0.500  0.500
Ag  0.500  0.000  0.500
Ag  0.500  0.500  0.000


No. 3
A plane-wave DFT calculation with GGA-PBE was carried out for a geometry-optimized Sm2GaGe3Pd4 structure.

Cell: 4.309 4.309 10.249 Å, 90.00 90.00 90.00°
Sites, in units of the cell vectors:
Sm  0.000  0.500  0.248
Sm  0.500  0.000  0.752
Ga  0.500  0.500  0.000
Ge  0.000  0.000  0.000
Ge  0.000  0.500  0.630
Ge  0.500  0.000  0.370
Pd  0.000  0.000  0.500
Pd  0.000  0.500  0.869
Pd  0.500  0.000  0.131
Pd  0.500  0.500  0.500


| no. | VASP energy (eV/cell) |
| --- | --- |
| 1 | -27.74 |
| 2 | -17.14 |
| 3 | -55.33 |